! YAl2CoTc, relaxed, DFT PBEsol; values from VASP
&SYSTEM
  ibrav = 0, nat = 5, ntyp = 4
/
ATOMIC_SPECIES
Co 58.93 Co.upf
Al 26.98 Al.upf
Tc 98.00 Tc.upf
Y 88.91 Y.upf
CELL_PARAMETERS angstrom
4.529 0.000 0.000
0.000 5.185 0.000
0.000 0.000 5.185
ATOMIC_POSITIONS angstrom
Co 2.264 2.593 2.593
Al 0.000 2.593 0.000
Al 0.000 0.000 2.593
Tc 2.264 0.000 0.000
Y 0.000 0.000 0.000
! E_form	2.145	eV per atom

! LiTa3Ti, relaxed, DFT PBEsol; values from VASP
&SYSTEM
  ibrav = 0, nat = 5, ntyp = 3
/
ATOMIC_SPECIES
Ta 180.95 Ta.upf
Ti 47.87 Ti.upf
Li 6.94 Li.upf
CELL_PARAMETERS angstrom
-1.633 -3.217 2.988
3.696 0.714 2.789
-2.370 3.330 2.289
ATOMIC_POSITIONS angstrom
Ta -1.185 1.665 1.144
Ta 1.848 0.357 1.394
Ti 0.000 0.000 0.000
Ta -0.817 -1.608 1.494
Li -0.154 0.414 4.033
! E_form	1.525	eV per atom

! CrSnSe2Br, relaxed, DFT PBEsol; values from VASP
&SYSTEM
  ibrav = 0, nat = 5, ntyp = 4
/
ATOMIC_SPECIES
Se 78.96 Se.upf
Cr 52.00 Cr.upf
Br 79.90 Br.upf
Sn 118.71 Sn.upf
CELL_PARAMETERS angstrom
-3.308 2.723 -2.328
-3.352 -3.491 0.679
-1.287 2.061 4.240
ATOMIC_POSITIONS angstrom
Se -0.644 1.030 2.120
Cr 0.000 0.000 0.000
Se -1.676 -1.746 0.340
Br -1.654 1.362 -1.164
Sn -3.973 0.646 1.296
! energy	-4.9553	eV/atom

! Sm3Sn13Rh4, relaxed, DFT PBEsol; values from VASP
&SYSTEM
  ibrav = 0, nat = 40, ntyp = 3
/
ATOMIC_SPECIES
Sm 150.36 Sm.upf
Sn 118.71 Sn.upf
Rh 102.91 Rh.upf
CELL_PARAMETERS angstrom
9.620 0.000 0.000
0.000 9.620 0.000
0.000 0.000 9.620
ATOMIC_POSITIONS angstrom
Sm 4.810 0.000 2.405
Sn 1.847 4.810 6.281
Sn 4.810 3.339 7.774
Sm 0.000 7.215 4.810
Sm 4.810 0.000 7.215
Sn 4.810 4.810 4.810
Sn 6.281 7.774 4.810
Sn 0.000 6.657 8.150
Sn 0.000 6.657 1.471
Sn 6.657 8.150 0.000
Rh 2.405 7.215 7.215
Sn 4.810 6.281 1.847
Sn 4.810 6.281 7.774
Sn 0.000 2.964 8.150
Sm 7.215 4.810 0.000
Rh 2.405 2.405 2.405
Sm 2.405 4.810 0.000
Sn 2.964 1.471 0.000
Rh 2.405 7.215 2.405
Sn 0.000 0.000 0.000
Sn 3.339 1.847 4.810
Sn 8.150 0.000 6.657
Rh 7.215 7.215 2.405
Sn 2.964 8.150 0.000
Rh 7.215 2.405 7.215
Sn 1.471 0.000 2.964
Rh 7.215 2.405 2.405
Sn 4.810 3.339 1.847
Sn 6.281 1.847 4.810
Rh 7.215 7.215 7.215
Sn 7.774 4.810 6.281
Rh 2.405 2.405 7.215
Sn 8.150 0.000 2.964
Sn 1.847 4.810 3.339
Sm 0.000 2.405 4.810
Sn 1.471 0.000 6.657
Sn 7.774 4.810 3.339
Sn 0.000 2.964 1.471
Sn 3.339 7.774 4.810
Sn 6.657 1.471 0.000
! E_form	-0.610	eV per atom

! LiNi3Br, relaxed, DFT PBEsol; values from VASP
&SYSTEM
  ibrav = 0, nat = 5, ntyp = 3
/
ATOMIC_SPECIES
Br 79.90 Br.upf
Ni 58.69 Ni.upf
Li 6.94 Li.upf
CELL_PARAMETERS angstrom
-1.573 0.414 3.690
3.395 -1.461 1.611
1.503 3.735 0.221
ATOMIC_POSITIONS angstrom
Br 1.663 1.344 2.761
Ni 1.698 -0.731 0.806
Li 0.000 0.000 0.000
Ni -0.786 0.207 1.845
Ni 0.751 1.868 0.111
! energy	-3.4279	eV/atom

! Ce4Cu3S4O4, relaxed, DFT PBEsol; values from VASP
&SYSTEM
  ibrav = 0, nat = 15, ntyp = 4
/
ATOMIC_SPECIES
S 32.06 S.upf
Ce 140.12 Ce.upf
Cu 63.55 Cu.upf
O 16.00 O.upf
CELL_PARAMETERS angstrom
5.400 0.000 0.000
0.000 5.400 0.000
-2.700 -2.700 8.100
ATOMIC_POSITIONS angstrom
S 1.346 -1.346 6.750
S 4.046 4.046 1.350
Ce 1.357 1.357 5.328
Cu 0.000 2.700 0.000
Ce 1.343 4.057 2.772
O 0.000 2.700 4.050
Cu 2.700 0.000 0.000
O 2.700 2.700 4.034
Cu 0.000 0.000 0.000
S -1.346 1.346 6.750
S 1.354 1.354 1.350
Ce -1.357 -1.357 5.328
Ce 4.057 1.343 2.772
O 2.700 0.000 4.050
O 0.000 0.000 4.066
! energy	-7.3631	eV/atom

! MgCr3I, relaxed, DFT PBEsol; values from VASP
&SYSTEM
  ibrav = 0, nat = 5, ntyp = 3
/
ATOMIC_SPECIES
Mg 24.30 Mg.upf
Cr 52.00 Cr.upf
I 126.90 I.upf
CELL_PARAMETERS angstrom
-1.632 4.476 -1.269
0.945 -0.998 -4.735
-4.555 -1.811 -0.528
ATOMIC_POSITIONS angstrom
Mg -2.621 0.833 -3.266
Cr 0.473 -0.499 -2.367
I 0.000 0.000 0.000
Cr -0.816 2.238 -0.635
Cr -2.278 -0.905 -0.264
! energy	-5.2740	eV/atom

! Mn2InTe, relaxed, DFT PBEsol; values from VASP
&SYSTEM
  ibrav = 0, nat = 4, ntyp = 3
/
ATOMIC_SPECIES
In 114.82 In.upf
Te 127.60 Te.upf
Mn 54.94 Mn.upf
CELL_PARAMETERS angstrom
3.208 0.000 0.000
0.000 3.208 0.000
0.000 0.000 6.698
ATOMIC_POSITIONS angstrom
In 1.604 1.604 3.349
Te 1.604 1.604 0.000
Mn 0.000 0.000 5.137
Mn 0.000 0.000 1.561
! excess energy over the best structure of this formula in the dataset	0.0	meV/atom